PuScTiGa after structural relaxation. Source: Alexandria via LeMat-Bulk, functional PBE.

```
16
Lattice="6.889 0.000 0.000 0.000 6.889 0.000 0.000 0.000 6.889" Properties=species:S:1:pos:R:3 pbc="T T T"
Pu 0.000 0.000 0.000
Pu 0.000 3.444 3.444
Pu 3.444 0.000 3.444
Pu 3.444 3.444 0.000
Sc 0.000 0.000 3.444
Sc 0.000 3.444 0.000
Sc 3.444 0.000 0.000
Sc 3.444 3.444 3.444
Ti 1.722 1.722 5.167
Ti 1.722 5.167 1.722
Ti 5.167 1.722 1.722
Ti 5.167 5.167 5.167
Ga 1.722 1.722 1.722
Ga 1.722 5.167 5.167
Ga 5.167 1.722 5.167
Ga 5.167 5.167 1.722
```

Values from the calculation:
Energy relative to the elements   -0.06 eV per atom
Magnetic moment   1.018 μB per atom
SG   F-43m, No. 216
Mass density   8.26 g cm⁻³